(1)
Computed, not measured: a geometry-optimized Sr2CuHPd6 structure at the PBE level of DFT.

Structure (POSCAR):
```
Sr2CuHPd6
1.0
-2.1310 -5.1293 3.0583
-1.0575 -2.8688 -5.5536
2.5666 -5.6823 -1.1708
Sr Cu H Pd
2 1 1 6
Direct
0.7500 0.2501 0.4999 Sr
0.2500 0.7499 0.5001 Sr
0.0000 0.0000 0.0000 Cu
0.5000 0.5000 0.0000 H
0.2753 0.2753 0.4492 Pd
0.7243 0.7244 0.0001 Pd
0.2756 0.7245 0.0000 Pd
0.7244 0.2755 0.0000 Pd
0.2757 0.2756 0.9999 Pd
0.7247 0.7247 0.5508 Pd
```

Values from the calculation:
E   -45.557 eV per cell

(2)
Computed, not measured: a geometry-optimized GaNiSn2Ge structure at the PBE level of DFT.

Structure (POSCAR):
```
GaNiSn2Ge
1.0
-0.0477 -5.1724 -0.7976
3.7917 0.4161 -2.9252
3.2166 -0.6582 4.0758
Ni Ge Sn Ga
1 1 2 1
Direct
0.5000 0.5000 0.5000 Ni
0.0000 0.5000 0.0000 Ge
0.0000 0.0000 0.5000 Sn
0.5000 0.0000 0.0000 Sn
0.0000 0.0000 0.0000 Ga
```

Values from the calculation:
E   -16.946 eV per cell
E_form   0.8971 eV/atom

(3)
Computed, not measured: a geometry-optimized Ce2TlSi structure at the PBE level of DFT.

Structure (POSCAR):
```
Ce2TlSi
1.0
-0.2192 3.6668 1.2173
-1.0919 -1.2284 3.5035
6.5478 -0.2562 1.9508
Tl Si Ce
1 1 2
Direct
0.5000 0.5000 0.5000 Tl
0.5000 0.5000 0.0000 Si
0.0000 0.0000 0.7998 Ce
0.0000 0.0000 0.2002 Ce
```

Values from the calculation:
E   -21.313 eV per cell
Formation energy (no corrections)   -0.4140 eV per atom

(4)
Computed, not measured: a geometry-optimized CePmHgPb structure at the PBE level of DFT.

Structure (POSCAR):
```
CePmHgPb
1.0
5.1350 0.0000 0.0000
0.0000 5.1350 0.0006
-2.5675 -2.5670 4.3659
Ce Pm Hg Pb
1 1 1 1
Direct
0.7500 0.2500 0.5000 Ce
0.2500 0.7500 0.5000 Pm
0.5000 0.5000 0.0000 Hg
0.0000 0.0000 0.0000 Pb
```

Values from the calculation:
Offset from the most stable computed form   0 meV/atom
E   -16.360 eV per cell
E_form   -0.4162 eV/atom

(5)
Computed, not measured: a geometry-optimized Ce6Al2Ag structure at the PBE level of DFT.

Structure (POSCAR):
```
Ce6Al2Ag
1.0
2.9442 0.0000 0.0000
0.0000 7.7319 -4.4640
0.0000 0.0000 8.9280
Ce Al Ag
6 2 1
Direct
0.5000 0.3386 0.3386 Ce
0.5000 0.6614 0.6614 Ce
0.5000 0.0000 0.6614 Ce
0.5000 0.6614 0.0000 Ce
0.5000 0.3386 0.0000 Ce
0.5000 0.0000 0.3386 Ce
0.0000 0.3333 0.6667 Al
0.0000 0.6667 0.3333 Al
0.0000 0.0000 0.0000 Ag
```

Values from the calculation:
E   -47.261 eV per cell
E_form   -0.1468 eV/atom

(6)
Computed, not measured: a geometry-optimized AsIr2Os structure at the PBE level of DFT.

Structure (POSCAR):
```
AsIr2Os
1.0
4.8720 0.0115 -0.0140
4.0396 2.7237 -0.0140
0.1555 0.0477 4.5394
As Ir Os
1 2 1
Direct
0.2500 0.2500 0.2500 As
0.0220 0.0220 0.9925 Ir
0.4780 0.4780 0.5075 Ir
0.7500 0.7500 0.7500 Os
```

Values from the calculation:
E   -32.553 eV per cell
E_form   0.2620 eV/atom

(7)
Computed, not measured: a geometry-optimized BeInW2 structure at the PBE level of DFT.

Structure (POSCAR):
```
BeInW2
1.0
3.2395 0.0000 0.0000
0.0000 3.2395 0.0000
0.0000 0.0000 6.2063
Be W In
1 2 1
Direct
0.0000 0.0000 0.4595 Be
0.0000 0.0000 0.0497 W
0.5000 0.5000 0.2607 W
0.5000 0.5000 0.7301 In
```

Values from the calculation:
Offset from the most stable computed form   0 meV/atom
E   -30.977 eV per cell
E_form   0.3486 eV/atom

(8)
Computed, not measured: a geometry-optimized As2Pd2Pb structure at the PBE level of DFT.

Structure (POSCAR):
```
As2Pd2Pb
1.0
4.4707 0.0000 0.0000
0.0000 4.4707 0.0000
2.2354 2.2354 5.0732
Pb As Pd
1 2 2
Direct
0.0000 0.0000 0.0000 Pb
0.3747 0.3747 0.2507 As
0.6253 0.6253 0.7493 As
0.7500 0.2500 0.5000 Pd
0.2500 0.7500 0.5000 Pd
```

Values from the calculation:
Offset from the most stable computed form   0 meV/atom
E   -24.588 eV per cell
E_form   -0.2390 eV/atom

(9)
Computed, not measured: a geometry-optimized ErLu2Pt structure at the PBE level of DFT.

Structure (POSCAR):
```
ErLu2Pt
1.0
-0.7283 -3.1536 -1.3098
3.4123 -0.6213 -0.4016
0.3072 -3.2316 7.6100
Lu Pt Er
2 1 1
Direct
0.0000 0.0000 0.8039 Lu
0.0000 0.0000 0.1961 Lu
0.5000 0.5000 0.0000 Pt
0.5000 0.5000 0.5000 Er
```

Values from the calculation:
Offset from the most stable computed form   0 meV/atom
E   -22.182 eV per cell
E_form   -0.6341 eV/atom

(10)
Computed, not measured: a geometry-optimized Ce2Tm13 structure at the PBE level of DFT.

Structure (POSCAR):
```
Ce2Tm13
1.0
-0.1576 6.1680 -2.0962
-7.9754 -0.3291 3.6476
6.3050 3.2333 5.2376
Ce Tm
2 13
Direct
0.8816 0.7782 0.5870 Ce
0.1184 0.2218 0.4130 Ce
0.7074 0.6365 0.0358 Tm
0.2926 0.3635 0.9642 Tm
0.0000 0.0000 0.0000 Tm
0.2900 0.0267 0.6240 Tm
0.7100 0.9733 0.3760 Tm
0.0938 0.5516 0.7493 Tm
0.9062 0.4484 0.2507 Tm
0.4069 0.5989 0.3965 Tm
0.5931 0.4011 0.6035 Tm
0.4827 0.8314 0.8366 Tm
0.5173 0.1686 0.1634 Tm
0.7923 0.2061 0.8081 Tm
0.2077 0.7939 0.1919 Tm
```

Values from the calculation:
E   -68.532 eV per cell
E_form   0.0977 eV/atom

(11)
Computed, not measured: a geometry-optimized CuSbMo2Se structure at the PBE level of DFT.

Structure (POSCAR):
```
CuSbMo2Se
1.0
-1.4622 -1.7921 4.0025
4.7802 1.0657 2.2235
-1.5339 4.1616 1.3030
Sb Mo Cu Se
1 2 1 1
Direct
0.0000 0.5000 0.0000 Sb
0.0000 0.0000 0.5000 Mo
0.5000 0.0000 0.0000 Mo
0.5000 0.5000 0.5000 Cu
0.0000 0.0000 0.0000 Se
```

Values from the calculation:
E   -26.186 eV per cell
Formation energy (no corrections)   1.4358 eV per atom

(12)
Computed, not measured: a geometry-optimized Y2NiPt structure at the PBE level of DFT.

Structure (POSCAR):
```
Y2NiPt
1.0
4.7607 0.0000 0.0000
2.3803 4.1229 0.0000
2.3803 1.3743 3.8871
Ni Pt Y
1 1 2
Direct
0.5000 0.5000 0.5000 Ni
0.7500 0.7500 0.7500 Pt
0.0000 0.0000 0.0000 Y
0.2500 0.2500 0.2500 Y
```

Values from the calculation:
E   -26.365 eV per cell
E_form   -0.4037 eV/atom

(13)
Computed, not measured: a geometry-optimized TiAu3C structure at the PBE level of DFT.

Structure (POSCAR):
```
TiAu3C
1.0
5.0220 0.0000 0.0000
0.0000 5.0220 0.0000
0.0000 0.0000 5.0220
C Au Ti
1 3 1
Direct
0.5000 0.5000 0.5000 C
0.0000 0.5000 0.0000 Au
0.0000 0.0000 0.5000 Au
0.5000 0.0000 0.0000 Au
0.0000 0.0000 0.0000 Ti
```

Values from the calculation:
Offset from the most stable computed form   1354 meV/atom
E   -16.778 eV per cell
E_form   2.0346 eV/atom

(14)
Computed, not measured: a geometry-optimized Nd2MnAlPd6 structure at the PBE level of DFT.

Structure (POSCAR):
```
Nd2MnAlPd6
1.0
-5.2173 2.3372 -0.2250
-0.5497 -1.9965 -7.9717
-4.8637 -4.3405 -5.0337
Nd Mn Al Pd
2 1 1 6
Direct
0.7101 0.2897 0.5796 Nd
0.2899 0.7103 0.4204 Nd
0.0000 0.0000 0.0000 Mn
0.5000 0.5000 0.0000 Al
0.2519 0.2474 0.4960 Pd
0.7522 0.7478 0.9957 Pd
0.2519 0.7478 0.9956 Pd
0.7481 0.2522 0.0044 Pd
0.2478 0.2522 0.0043 Pd
0.7481 0.7526 0.5040 Pd
```

Values from the calculation:
E   -58.517 eV per cell
E_form   -0.4912 eV/atom

(15)
Computed, not measured: a geometry-optimized KLiBiSe2 structure at the PBE level of DFT.

Structure (POSCAR):
```
KLiBiSe2
1.0
-0.8243 -2.9731 2.6747
5.9364 2.3945 4.4911
-5.4937 5.4152 4.3261
K Li Bi Se
2 2 2 4
Direct
0.9995 0.5000 0.7500 K
0.0005 0.5000 0.2500 K
0.0000 0.0000 0.0000 Li
0.0000 0.0000 0.5000 Li
0.5000 0.0000 0.2500 Bi
0.5000 0.0000 0.7500 Bi
0.4998 0.7518 0.9993 Se
0.4998 0.2482 0.5007 Se
0.5002 0.7518 0.4993 Se
0.5002 0.2482 0.0007 Se
```

Values from the calculation:
E   -35.406 eV per cell
Formation energy (no corrections)   -0.7684 eV per atom

(16)
Computed, not measured: a geometry-optimized TaFeNi2 structure at the PBE level of DFT.

Structure (POSCAR):
```
TaFeNi2
1.0
4.5497 0.0012 0.0151
1.5855 4.2645 -0.0151
-3.0748 -2.1225 2.5963
Fe Ni Ta
1 2 1
Direct
0.2500 0.7500 0.5000 Fe
0.0000 0.0000 0.0000 Ni
0.7501 0.2501 0.5000 Ni
0.5000 0.5000 0.0000 Ta
```

Values from the calculation:
E   -32.527 eV per cell
E_form   -0.1623 eV/atom

(17)
Computed, not measured: a geometry-optimized In3Ga2Hg7 structure at the PBE level of DFT.

Structure (POSCAR):
```
In3Ga2Hg7
1.0
3.7064 -0.0028 -0.1423
0.0085 9.9940 -0.0242
-0.5101 -1.3760 8.4810
In Ga Hg
3 2 7
Direct
0.5000 0.5000 0.0000 In
0.2243 0.0296 0.3497 In
0.7757 0.9704 0.6503 In
0.7054 0.5162 0.3603 Ga
0.2946 0.4838 0.6397 Ga
0.7655 0.2629 0.5132 Hg
0.2345 0.7371 0.4868 Hg
0.1149 0.2976 0.1794 Hg
0.0000 0.0000 0.0000 Hg
0.8851 0.7024 0.8206 Hg
0.3483 0.2143 0.8186 Hg
0.6517 0.7857 0.1814 Hg
```

Values from the calculation:
E   -15.876 eV per cell
E_form   0.0421 eV/atom

(18)
Computed, not measured: a geometry-optimized TbThRu structure at the PBE level of DFT.

Structure (POSCAR):
```
TbThRu
1.0
4.8697 0.0000 0.0000
2.4349 4.2173 0.0000
2.4349 1.4058 3.9761
Ru Tb Th
1 1 1
Direct
0.2500 0.2500 0.2500 Ru
0.0000 0.0000 0.0000 Tb
0.5000 0.5000 0.5000 Th
```

Values from the calculation:
Offset from the most stable computed form   92 meV/atom
E   -22.043 eV per cell
E_form   -0.2392 eV/atom

(19)
Computed, not measured: a geometry-optimized CrSn2RhPb structure at the PBE level of DFT.

Structure (POSCAR):
```
CrSn2RhPb
1.0
-3.5215 0.9315 -3.4128
0.8567 -4.5552 -2.1273
-3.4368 -2.0422 2.9889
Pb Cr Rh Sn
1 1 1 2
Direct
0.0000 0.5000 0.0000 Pb
0.0000 0.0000 0.0000 Cr
0.5000 0.5000 0.5000 Rh
0.0000 0.0000 0.5000 Sn
0.5000 0.0000 0.0000 Sn
```

Values from the calculation:
E   -24.946 eV per cell
E_form   0.7486 eV/atom

(20)
Computed, not measured: a geometry-optimized Ce5GaRu5 structure at the PBE level of DFT.

Structure (POSCAR):
```
Ce5GaRu5
1.0
-1.9564 2.7164 -4.0396
2.1944 -5.9008 -1.6239
-7.7089 -0.7676 3.2174
Ce Ga Ru
5 1 5
Direct
0.6751 0.3503 0.3317 Ce
0.6760 0.3519 0.8439 Ce
0.0000 0.0000 0.5000 Ce
0.3240 0.6481 0.1561 Ce
0.3249 0.6497 0.6683 Ce
0.0000 0.0000 0.0000 Ga
0.8732 0.7464 0.1867 Ru
0.8622 0.7244 0.6836 Ru
0.5000 0.0000 0.0000 Ru
0.1378 0.2756 0.3164 Ru
0.1268 0.2536 0.8133 Ru
```

Values from the calculation:
E   -81.847 eV per cell
E_form   -0.2519 eV/atom

(21)
Computed, not measured: a geometry-optimized RbScBe2Cl structure at the PBE level of DFT.

Structure (POSCAR):
```
RbScBe2Cl
1.0
-3.0174 0.7179 -4.3155
-2.9417 -3.9399 1.4015
-3.1288 3.3101 2.7383
Sc Be Rb Cl
1 2 1 1
Direct
0.0000 0.0000 0.0000 Sc
0.0000 0.0000 0.5000 Be
0.5000 0.0000 0.0000 Be
0.5000 0.5000 0.5000 Rb
0.0000 0.5000 0.0000 Cl
```

Values from the calculation:
E   -14.705 eV per cell
Formation energy (no corrections)   0.3787 eV per atom

(22)
Computed, not measured: a geometry-optimized AcNdSm3Tm structure at the PBE level of DFT.

Structure (POSCAR):
```
AcNdSm3Tm
1.0
5.2020 0.0000 0.0000
0.0000 8.1502 -1.1682
0.0000 -3.4624 10.4331
Ac Nd Sm Tm
2 2 6 2
Direct
0.2500 0.1250 0.2937 Ac
0.7500 0.8750 0.7063 Ac
0.2500 0.6218 0.1255 Nd
0.7500 0.3782 0.8745 Nd
0.7500 0.8698 0.0403 Sm
0.2500 0.1302 0.9597 Sm
0.2500 0.6265 0.4538 Sm
0.7500 0.3735 0.5462 Sm
0.7500 0.3802 0.2084 Sm
0.2500 0.6198 0.7916 Sm
0.2500 0.1276 0.6256 Tm
0.7500 0.8724 0.3744 Tm
```

Values from the calculation:
E   -54.515 eV per cell
E_form   0.0413 eV/atom

(23)
Computed, not measured: a geometry-optimized CaTbTlBi structure at the PBE level of DFT.

Structure (POSCAR):
```
CaTbTlBi
1.0
-4.7117 2.4888 -1.4128
-3.2157 -2.1971 -3.9016
-4.8340 -2.2698 1.3677
Tl Ca Tb Bi
1 1 1 1
Direct
0.2500 0.2500 0.2500 Tl
0.0000 0.0000 0.0000 Ca
0.5000 0.5000 0.5000 Tb
0.7500 0.7500 0.7500 Bi
```

Values from the calculation:
E   -14.707 eV per cell
E_form   -0.4571 eV/atom

(24)
Computed, not measured: a geometry-optimized Pr4OsBr2F structure at the PBE level of DFT.

Structure (POSCAR):
```
Pr4OsBr2F
1.0
4.0774 0.0000 0.0000
0.0000 6.8169 0.0364
0.0000 -2.4712 7.8703
Pr Os Br F
4 1 2 1
Direct
0.5000 0.2277 0.1978 Pr
0.5000 0.7723 0.8022 Pr
0.0000 0.2647 0.8000 Pr
0.0000 0.7353 0.2000 Pr
0.5000 0.5000 0.0000 Os
0.5000 0.0000 0.5000 Br
0.0000 0.5000 0.5000 Br
0.0000 0.0000 0.0000 F
```

Values from the calculation:
E   -45.199 eV per cell
Formation energy (no corrections)   -1.2042 eV per atom